The following is a DFT calculation (PBE) of a geometry-optimized Sc6FeCo5 structure.

Summary:
V	15.11	Å³/atom
E_form	-0.31	eV per atom
calculated total energy	-7.14	eV per atom

a b c (Å): 4.4103 6.2256 7.6245
angles (deg): 114.10 106.81 90.00
With the nearest neighbours (Å) after each atom.
Element x y z (fractional)
Sc (0.1657, 0.4149, 0.3315)  1 Fe 2.68, 7 Co 2.69-2.71
Sc (0.1657, 0.9166, 0.3315)  1 Fe 2.68, 7 Co 2.69-2.71
Sc (0.5000, 0.2483, 0.0000)  6 Co 2.69-2.71, 2 Fe 2.69
Sc (0.5000, 0.7517, 0.0000)  6 Co 2.69-2.71, 2 Fe 2.69
Sc (0.8343, 0.0834, 0.6685)  1 Fe 2.68, 7 Co 2.69-2.71
Sc (0.8343, 0.5851, 0.6685)  1 Fe 2.68, 7 Co 2.69-2.71
Co (0.3331, 0.8331, 0.6662)  8 Sc 2.69-2.71
Co (0.6673, 0.6673, 0.3346)  8 Sc 2.70-2.71
Co (0.0000, 0.5000, 0.0000)  8 Sc 2.69-2.71
Co (0.3327, 0.3327, 0.6654)  8 Sc 2.70-2.71
Co (0.6669, 0.1669, 0.3338)  8 Sc 2.69-2.71
Fe (0.0000, 0.0000, 0.0000)  8 Sc 2.68-2.69